Model A:
First-principles (PBE-GGA) data for an optimized crystal structure of BeSiAs2, as listed in the Alexandria database.

a b c (Å): 2.7475 2.7475 8.8030
angles (deg): 90.00 90.00 99.59
Closest atoms and distances in Å follow each position.
Element x y z (fractional)
Be: 0.0000 0.0000 0.5170  4 Si 2.42-2.67, 4 As 2.44-2.68
As: 0.0000 0.0000 0.9511  4 As 2.75, 4 Si 2.80-3.02
As: 0.5000 0.5000 0.3272  4 Be 2.44-2.68
Si: 0.5000 0.5000 0.7047  4 Be 2.42-2.67

## Properties
Volume in Å³/atom: 16.4

Model B:
First-principles (PBE-GGA) data for an optimized crystal structure of BeSiAs2, as listed in the Alexandria database.

a b c (Å): 4.4616 4.4616 4.4616
angles (deg): 60.00 60.00 60.00
Closest atoms and distances in Å follow each position.
Element x y z (fractional)
Be: 0.0000 0.0000 0.0000  8 As 2.73
As: 0.2500 0.2500 0.2500  4 Si 2.73, 4 Be 2.73
As: 0.7500 0.7500 0.7500  4 Si 2.73, 4 Be 2.73
Si: 0.5000 0.5000 0.5000  8 As 2.73

## Properties
Volume in Å³/atom: 15.7

Model C:
First-principles (PBE-GGA) data for an optimized crystal structure of BeSiAs2, as listed in the Alexandria database.

a b c (Å): 3.3797 3.3797 6.8889
angles (deg): 90.00 90.00 90.00
Closest atoms and distances in Å follow each position.
Element x y z (fractional)
Be: 0.0000 0.0000 0.5163  5 As 2.37-2.55
As: 0.0000 0.0000 0.8597  1 Be 2.37, 4 Si 2.54
As: 0.5000 0.5000 0.3889  1 Si 2.38, 4 Be 2.55
Si: 0.5000 0.5000 0.7351  5 As 2.38-2.54

## Properties
Volume in Å³/atom: 19.7

Energies relative to the most stable structure, in meV per atom: model A 175; model B 377; model C 0.

Model A:
First-principles (PBE-GGA) data for an optimized crystal structure of BeSiAs2, as listed in the Alexandria database.

a b c (Å): 5.4850 5.4850 5.4850
angles (deg): 151.23 126.13 62.21
Closest atoms and distances in Å follow each position.
Element x y z (fractional)
Be: 0.4911 0.4911 0.0000  2 Si 2.42, 2 As 2.45
As: 0.0223 0.0223 0.0000  4 As 2.73-3.04, 2 Si 2.76, 4 Be 2.85
As: 0.7084 0.2084 0.5000  2 Be 2.45, 2 As 2.73
Si: 0.2782 0.7782 0.5000  2 Be 2.42

## Properties
Volume in Å³/atom: 15.9

Model B:
First-principles (PBE-GGA) data for an optimized crystal structure of BeSiAs2, as listed in the Alexandria database.

a b c (Å): 3.7996 3.7996 6.6236
angles (deg): 106.66 106.66 60.05
Closest atoms and distances in Å follow each position.
Element x y z (fractional)
Be: 0.4431 0.4431 0.5801  3 As 2.24, 1 Si 2.24
As: 0.9327 0.9327 0.0477  3 Si 2.45, 1 As 2.48
As: 0.8000 0.8000 0.6504  3 Be 2.24, 1 As 2.48
Si: 0.3242 0.3242 0.2218  1 Be 2.24, 3 As 2.45

## Properties
Volume in Å³/atom: 19.5

Model C:
First-principles (PBE-GGA) data for an optimized crystal structure of BeSiAs2, as listed in the Alexandria database.

a b c (Å): 4.5173 4.5173 4.5173
angles (deg): 60.00 60.00 60.00
Closest atoms and distances in Å follow each position.
Element x y z (fractional)
Be: 0.5000 0.5000 0.5000  4 As 2.77, 4 Si 2.77
As: 0.0000 0.0000 0.0000  4 Si 2.77, 4 As 2.77
As: 0.2500 0.2500 0.2500  4 As 2.77, 4 Be 2.77
Si: 0.7500 0.7500 0.7500  4 As 2.77, 4 Be 2.77

## Properties
Volume in Å³/atom: 16.3

Model D:
First-principles (PBE-GGA) data for an optimized crystal structure of BeSiAs2, as listed in the Alexandria database.

a b c (Å): 5.3715 5.3715 6.5762
angles (deg): 65.90 65.90 90.00
Closest atoms and distances in Å follow each position.
Element x y z (fractional)
Be: 0.5000 0.5000 0.0000  4 As 2.27
Be: 0.2500 0.7500 0.5000  4 As 2.27
As: 0.6053 0.1250 0.2500  2 Be 2.27, 2 Si 2.39
As: 0.1447 0.6250 0.2500  2 Be 2.27, 2 Si 2.39
As: 0.3750 0.3947 0.7500  2 Be 2.27, 2 Si 2.39
As: 0.8750 0.8553 0.7500  2 Be 2.27, 2 Si 2.39
Si: 0.0000 0.0000 0.0000  4 As 2.39
Si: 0.7500 0.2500 0.5000  4 As 2.39

## Properties
Volume in Å³/atom: 19.4

Energies relative to the most stable structure, in meV per atom: model A 689; model B 195; model C 902; model D 0.

Model A:
First-principles (PBE-GGA) data for an optimized crystal structure of BeSiAs2, as listed in the Alexandria database.

a b c (Å): 4.3664 4.3664 4.3664
angles (deg): 113.51 113.51 101.67
Closest atoms and distances in Å follow each position.
Element x y z (fractional)
Be: 0.2500 0.7500 0.5000  2 Si 2.76, 8 As 2.76
As: 0.0000 0.0000 0.0000  2 As 2.76, 4 Be 2.76, 4 Si 2.76
As: 0.5000 0.5000 0.0000  2 As 2.76, 4 Si 2.76, 4 Be 2.76
Si: 0.7500 0.2500 0.5000  2 Be 2.76, 8 As 2.76

## Properties
Volume in Å³/atom: 15.8

Model B:
First-principles (PBE-GGA) data for an optimized crystal structure of BeSiAs2, as listed in the Alexandria database.

a b c (Å): 3.1469 3.1469 7.0169
angles (deg): 90.00 90.00 111.10
Closest atoms and distances in Å follow each position.
Element x y z (fractional)
Be: 0.5000 0.5000 0.2500  4 As 2.37
As: 0.0000 0.0000 0.0272  2 Be 2.37, 2 Si 2.64
As: 0.0000 0.0000 0.4728  2 Be 2.37, 2 Si 2.64
Si: 0.5000 0.5000 0.7500  4 As 2.64

## Properties
Volume in Å³/atom: 16.2

Model C:
First-principles (PBE-GGA) data for an optimized crystal structure of BeSiAs2, as listed in the Alexandria database.

a b c (Å): 4.8155 4.8155 2.7360
angles (deg): 90.00 90.00 90.00
Closest atoms and distances in Å follow each position.
Element x y z (fractional)
Be: 0.5000 0.0000 0.5000  2 Be 2.74, 8 As 2.77
As: 0.0000 0.0000 0.0000  2 As 2.74, 4 Be 2.77, 4 Si 2.77
As: 0.5000 0.5000 0.0000  2 As 2.74, 4 Be 2.77, 4 Si 2.77
Si: 0.0000 0.5000 0.5000  2 Si 2.74, 8 As 2.77

## Properties
Volume in Å³/atom: 15.9

Energies relative to the most stable structure, in meV per atom: model A 85; model B 0; model C 80.

Model A:
First-principles (PBE-GGA) data for an optimized crystal structure of BeSiAs2, as listed in the Alexandria database.

a b c (Å): 3.6095 3.6095 6.0557
angles (deg): 73.20 73.20 59.97
Closest atoms and distances in Å follow each position.
Element x y z (fractional)
Be: 0.7500 0.7500 0.7500  6 As 2.43-2.49
As: 0.0002 0.0002 0.9826  3 Be 2.43-2.49, 3 Si 2.58-2.60
As: 0.4998 0.4998 0.5174  3 Be 2.43-2.49, 3 Si 2.58-2.60
Si: 0.2500 0.2500 0.2500  6 As 2.58-2.60

## Properties
Volume in Å³/atom: 16.1

Model B:
First-principles (PBE-GGA) data for an optimized crystal structure of BeSiAs2, as listed in the Alexandria database.

a b c (Å): 3.5544 4.3615 4.4413
angles (deg): 73.85 90.00 90.00
Closest atoms and distances in Å follow each position.
Element x y z (fractional)
Be: 0.5000 0.2500 0.2500  4 As 2.41, 2 Si 2.64
As: 0.0000 0.0111 0.0272  2 Be 2.41, 1 As 2.57, 2 Si 2.60
As: 0.0000 0.4890 0.4728  2 Be 2.41, 1 As 2.57, 2 Si 2.60
Si: 0.5000 0.7500 0.7500  4 As 2.60, 2 Be 2.64

## Properties
Volume in Å³/atom: 16.5

Model C:
First-principles (PBE-GGA) data for an optimized crystal structure of BeSiAs2, as listed in the Alexandria database.

a b c (Å): 2.7414 2.7414 8.7726
angles (deg): 90.00 90.00 90.00
Closest atoms and distances in Å follow each position.
Element x y z (fractional)
Be: 0.0000 0.0000 0.5218  4 Si 2.51, 4 As 2.58, 4 Be 2.74
As: 0.0000 0.0000 0.9463  4 As 2.74, 4 Si 2.88
As: 0.5000 0.5000 0.3283  4 Be 2.58, 4 As 2.74
Si: 0.5000 0.5000 0.7036  4 Be 2.51, 4 Si 2.74

## Properties
Volume in Å³/atom: 16.5

Model D:
First-principles (PBE-GGA) data for an optimized crystal structure of BeSiAs2, as listed in the Alexandria database.

a b c (Å): 8.5919 8.5919 8.5919
angles (deg): 19.80 19.80 19.80
Closest atoms and distances in Å follow each position.
Element x y z (fractional)
Be: 0.2500 0.2500 0.2500  6 As 2.45
As: 0.9861 0.9861 0.9861  3 Be 2.45
As: 0.5139 0.5139 0.5139  3 Be 2.45
Si: 0.7500 0.7500 0.7500  6 Si 2.95, 6 As 2.99

## Properties
Volume in Å³/atom: 15.9

Energies relative to the most stable structure, in meV per atom: model A 0; model B 122; model C 191; model D 268.

Model A:
First-principles (PBE-GGA) data for an optimized crystal structure of BeSiAs2, as listed in the Alexandria database.

a b c (Å): 3.6795 3.6782 6.8631
angles (deg): 89.65 90.00 90.00
Closest atoms and distances in Å follow each position.
Element x y z (fractional)
Be: 0.0000 0.3718 0.6244  4 As 2.39-2.42, 4 Si 2.58-2.62
As: 0.0000 0.8630 0.8507  2 Be 2.39-2.42, 2 Si 2.40
As: 0.5000 0.3854 0.3996  2 Si 2.40-2.41, 2 Be 2.40
Si: 0.5000 0.8797 0.6253  4 As 2.40-2.41, 4 Be 2.58-2.62

## Properties
Volume in Å³/atom: 23.2

Model B:
First-principles (PBE-GGA) data for an optimized crystal structure of BeSiAs2, as listed in the Alexandria database.

a b c (Å): 5.8486 5.8486 5.8486
angles (deg): 144.74 144.74 50.72
Closest atoms and distances in Å follow each position.
Element x y z (fractional)
Be: 0.5000 0.5000 0.0000  4 As 2.50
As: 0.0000 0.0000 0.0000  4 Be 2.50
As: 0.2500 0.7500 0.5000  4 Si 2.50
Si: 0.7500 0.2500 0.5000  4 As 2.50

## Properties
Volume in Å³/atom: 16.6

Energies relative to the most stable structure, in meV per atom: model A 0; model B 514.

Model A:
First-principles (PBE-GGA) data for an optimized crystal structure of BeSiAs2, as listed in the Alexandria database.

a b c (Å): 4.7579 4.7579 4.7579
angles (deg): 136.03 112.06 84.53
Closest atoms and distances in Å follow each position.
Element x y z (fractional)
Be: 0.7500 0.2500 0.5000  4 As 2.34
As: 0.9647 0.9647 0.0000  2 Be 2.34
As: 0.5353 0.5353 0.0000  2 Be 2.34
Si: 0.2500 0.7500 0.5000  4 As 2.68

## Properties
Volume in Å³/atom: 16.7

Model B:
First-principles (PBE-GGA) data for an optimized crystal structure of BeSiAs2, as listed in the Alexandria database.

a b c (Å): 3.5940 5.2706 3.4724
angles (deg): 90.00 90.00 90.00
Closest atoms and distances in Å follow each position.
Element x y z (fractional)
Be: 0.5000 0.0000 0.5000  4 As 2.50
As: 0.0000 0.0000 0.0000  4 Be 2.50
As: 0.5000 0.5000 0.0000  4 Si 2.50
Si: 0.0000 0.5000 0.5000  4 As 2.50

## Properties
Volume in Å³/atom: 16.4

Energies relative to the most stable structure, in meV per atom: model A 0; model B 64.